Density functional theory data (GGA-PBE) for a geometry-optimized Li3NpSc2S6 structure.

abc: 6.550 6.550 6.495
angles: 99.66 99.66 120.01
Element x y z (fractional)
Li 0.169 0.831 0.500
Li 0.831 0.169 0.500
Li 0.500 0.500 0.500
Np 0.000 0.000 0.000
Sc 0.334 0.666 0.000
Sc 0.666 0.334 0.000
S 0.919 0.572 0.755
S 0.736 0.736 0.247
S 0.081 0.428 0.245
S 0.572 0.919 0.755
S 0.264 0.264 0.753
S 0.428 0.081 0.245

## Properties
total magnetic moment = 4.01 Bohr magnetons per cell
volume = 18.94 Å³/atom
formation energy without anion corrections = -19.4 eV/f.u.
DFT total energy = -0.46221 Ry per atom
SG = C2/m, No. 12

Density functional theory data (GGA-PBE) for a geometry-optimized LiNp4Sc3S8 structure.

abc: 7.629 7.592 7.630
angles: 120.16 120.00 90.00
Element x y z (fractional)
Li 0.000 0.500 0.000
Np 0.500 0.000 0.000
Np 0.500 0.000 0.500
Np 0.000 0.000 0.000
Np 0.000 0.000 0.500
Sc 0.500 0.500 0.000
Sc 0.500 0.500 0.500
Sc 0.000 0.500 0.500
S 0.243 0.731 0.988
S 0.243 0.731 0.486
S 0.255 0.265 0.510
S 0.745 0.731 0.988
S 0.255 0.269 0.012
S 0.745 0.735 0.490
S 0.757 0.269 0.514
S 0.757 0.269 0.012

## Properties
total magnetic moment = 8.25 Bohr magnetons per cell
volume = 19.48 Å³/atom
formation energy without anion corrections = -24.7 eV/f.u.
DFT total energy = -0.59885 Ry per atom
SG = R-3m, No. 166

Density functional theory data (GGA-PBE) for a geometry-optimized Li2NpScS4 structure.

abc: 3.814 6.594 6.525
angles: 109.78 90.00 90.00
Element x y z (fractional)
Li 0.500 0.000 0.500
Li 0.000 0.500 0.500
Np 0.500 0.500 0.000
Sc 0.000 0.000 0.000
S 0.500 0.237 0.244
S 0.500 0.763 0.756
S 0.000 0.238 0.749
S 0.000 0.762 0.251

## Properties
total magnetic moment = 4.00 Bohr magnetons per cell
volume = 19.30 Å³/atom
formation energy without anion corrections = -12.3 eV/f.u.
DFT total energy = -0.47734 Ry per atom
SG = P2/m, No. 10

Question: Among the records above, which one has the lowest DFT total energy?
Answer: LiNp4Sc3S8

Question: total magnetic moment of number 3 (Li2NpScS4)?
Answer: 4.00 Bohr magnetons per cell